<one>
Below is a geometry-optimized TiBiRu3 structure, with properties calculated at the PBE level.

Values from the calculation:
Total magnetic moment, Bohr magnetons per cell: 0.00

Cell: 4.8568 4.8568 4.8568 Å, 90.00 90.00 90.00°
Last column: nearest neighbours and their distance in Å.
Space group Pm-3m (No. 221)
Asymmetric unit:
Ti1 0.0000 0.0000 0.0000 x1  12 Ru 3.43
Bi1 0.5000 0.5000 0.5000 x1  6 Ru 2.43
Ru1 0.0000 0.5000 0.5000 x3  2 Bi 2.43



<two>
Below is a geometry-optimized TiBiRu3 structure, with properties calculated at the PBE level.

Values from the calculation:
Total magnetic moment, Bohr magnetons per cell: 0.00

Cell: 4.5899 4.5899 4.5899 Å, 90.00 90.00 90.00°
Last column: nearest neighbours and their distance in Å.
Space group Pm-3m (No. 221)
Asymmetric unit:
Ti1 0.0000 0.0000 0.0000 x1  6 Ru 2.29
Bi1 0.5000 0.5000 0.5000 x1  12 Ru 3.25
Ru1 0.0000 0.0000 0.5000 x3  2 Ti 2.29



Quick one: most stable of them? <two>



<one>
Below is a geometry-optimized VBi2Ru structure, with properties calculated at the PBE level.

Values from the calculation:
Total magnetic moment, Bohr magnetons per cell: 13.54

Cell: 6.5225 6.5225 11.4641 Å, 90.00 90.00 90.00°
Last column: nearest neighbours and their distance in Å.
Space group I-42d (No. 122)
Asymmetric unit:
V1 0.0000 0.0000 0.0000 x4  4 Bi 2.81
Bi1 0.2273 0.2500 0.6250 x8  2 Ru 2.63, 2 V 2.81
Ru1 0.0000 0.0000 0.5000 x4  4 Bi 2.63



<two>
Below is a geometry-optimized VBi2Ru structure, with properties calculated at the PBE level.

Values from the calculation:
Total magnetic moment, Bohr magnetons per cell: 10.83

Cell: 6.9039 6.9039 6.9039 Å, 90.00 90.00 90.00°
Last column: nearest neighbours and their distance in Å.
Space group Fm-3m (No. 225)
Asymmetric unit:
V1 0.0000 0.0000 0.0000 x4  8 Bi 2.99
Bi1 0.2500 0.2500 0.2500 x8  4 V 2.99, 4 Ru 2.99
Ru1 0.0000 0.0000 0.5000 x4  8 Bi 2.99



Quick one: most stable of them? <two>



<one>
Below is a geometry-optimized VBi2Ru2 structure, with properties calculated at the PBE level.

Values from the calculation:
Total magnetic moment, Bohr magnetons per cell: 1.88

Cell: 6.6618 6.6618 4.4612 Å, 90.00 90.00 90.00°
Last column: nearest neighbours and their distance in Å.
Space group P4/mbm (No. 127)
Asymmetric unit:
V1 0.0000 0.0000 0.0000 x2  4 Ru 2.57
Bi1 0.1754 0.3246 0.5000 x4  6 Ru 2.82-3.08
Ru1 0.1407 0.6407 0.0000 x4  2 V 2.57, 1 Ru 2.65, 2 Bi 2.82



<two>
Below is a geometry-optimized VBi2Ru2 structure, with properties calculated at the PBE level.

Values from the calculation:
Total magnetic moment, Bohr magnetons per cell: 3.28

Cell: 5.4392 5.4392 7.3293 Å, 90.00 90.00 90.00°
Last column: nearest neighbours and their distance in Å.
Space group I4/mmm (No. 139)
Asymmetric unit:
V1 0.0000 0.0000 0.0000 x2  2 Ru 2.38
Bi1 0.0000 0.5000 0.2500 x4  4 Ru 2.77
Ru1 0.0000 0.0000 0.3241 x4  1 V 2.38, 1 Ru 2.58



Quick one: most stable of them? <one>